[1]
## AlNiAu2 (PBEsol)

Data for a relaxed AlNiAu2 crystal.

## Properties
calculated formation energy: -290.5 meV per atom
space group: I-4m2 (119)
total moment: 0.00 Bohr magnetons per cell

Unit cell a=3.813 b=3.813 c=4.814 alpha=113.34 beta=113.34 gamma=90.00
Fractional positions:
Au: 0.000 0.000 0.000
Au: 0.750 0.250 0.500
Ni: 0.500 0.500 0.000
Al: 0.250 0.750 0.500

***

[2]
## AlNiAu2 (PBEsol)

Data for a relaxed AlNiAu2 crystal.

## Properties
calculated formation energy: -43.0 meV per atom
space group: R-3m (166)
total moment: 0.00 Bohr magnetons per cell

Unit cell a=2.910 b=2.910 c=8.367 alpha=80.01 beta=80.01 gamma=59.99
Fractional positions:
Au: 0.250 0.250 0.251
Al: 0.000 0.000 0.000
Au: 0.750 0.750 0.749
Ni: 0.500 0.500 0.500

***

[3]
## AlNiAu2 (PBEsol)

Data for a relaxed AlNiAu2 crystal.

## Properties
calculated formation energy: -293.7 meV per atom
space group: Imm2 (44)
total moment: 0.00 Bohr magnetons per cell

Unit cell a=3.593 b=4.009 c=4.847 alpha=114.43 beta=111.76 gamma=90.00
Fractional positions:
Ni: 0.517 0.517 0.034
Au: 0.989 0.989 0.979
Al: 0.240 0.740 0.479
Au: 0.754 0.254 0.507

***

[4]
## AlNiAu2 (PBEsol)

Data for a relaxed AlNiAu2 crystal.

## Properties
calculated formation energy: -281.3 meV per atom
space group: I4/mmm (139)
total moment: 0.00 Bohr magnetons per cell

Unit cell a=4.101 b=4.504 c=4.101 alpha=62.92 beta=90.00 gamma=117.08
Fractional positions:
Au: 0.250 0.500 0.250
Ni: 0.000 0.000 0.000
Al: 0.500 0.000 0.500
Au: 0.750 0.500 0.750

***

[5]
## AlNiAu2 (PBEsol)

Data for a relaxed AlNiAu2 crystal.

## Properties
calculated formation energy: -275.2 meV per atom
space group: Cm (8)
total moment: 0.00 Bohr magnetons per cell

Unit cell a=2.943 b=4.482 c=4.893 alpha=108.60 beta=107.50 gamma=90.00
Fractional positions:
Au: 0.982 0.960 0.965
Au: 0.766 0.291 0.531
Ni: 0.521 0.485 0.043
Al: 0.231 0.764 0.461

***

[6]
## AlNiPtAu2 (PBEsol)

Data for a relaxed AlNiPtAu2 crystal.

## Properties
calculated formation energy: 649.2 meV per atom
space group: P4/mmm (123)
total moment: 0.00 Bohr magnetons per cell

Unit cell a=4.173 b=4.604 c=4.604 alpha=90.00 beta=90.00 gamma=90.00
Fractional positions:
Ni: 0.000 0.000 0.000
Pt: 0.500 0.500 0.500
Au: 0.000 0.000 0.500
Al: 0.500 0.000 0.000
Au: 0.000 0.500 0.000

***

[7]
## AlNi2AuS (PBEsol)

Data for a relaxed AlNi2AuS crystal.

## Properties
formation energy without anion corrections: 1061 meV/atom
space group: P4/mmm (123)
total moment: 0.80 Bohr magnetons per cell

Unit cell a=4.505 b=4.681 c=4.681 alpha=90.00 beta=90.00 gamma=90.00
Each line ends with the local moment (μB).
Fractional positions:
Au: 0.000 0.000 0.000  0.01
S: 0.500 0.000 0.000  0.04
Ni: 0.000 0.500 0.000  0.37
Ni: 0.000 0.000 0.500  0.37
Al: 0.500 0.500 0.500  0.01

***

[8]
## AlNiAuSe2 (PBEsol)

Data for a relaxed AlNiAuSe2 crystal.

## Properties
formation energy without anion corrections: 794 meV/atom
space group: P4/mmm (123)
total moment: 1.05 Bohr magnetons per cell

Unit cell a=4.665 b=4.997 c=4.997 alpha=90.00 beta=90.00 gamma=90.00
Each line ends with the local moment (μB).
Fractional positions:
Al: 0.500 0.500 0.500  0.04
Au: 0.000 0.000 0.000  0.03
Ni: 0.500 0.000 0.000  0.77
Se: 0.000 0.000 0.500  0.06
Se: 0.000 0.500 0.000  0.06

***

- Which formula does entry 6 have?
  AlNiPtAu2